Here is LiZnRhF6 after structural relaxation from Alexandria via LeMat-Bulk. Energies are from PBEsol.

The structure in POSCAR format:
```
LiZnRhF6
1.0
-0.037 -2.265 4.070
3.695 -2.492 -1.354
5.645 6.406 3.617
Li Zn Rh F
2 2 2 12
Direct
0.500 0.500 0.499 Li
0.000 0.000 0.999 Li
0.500 0.500 0.169 Zn
0.000 0.000 0.669 Zn
0.500 0.500 0.833 Rh
0.000 0.000 0.333 Rh
0.194 0.806 0.496 F
0.806 0.194 0.496 F
0.306 0.306 0.996 F
0.694 0.694 0.996 F
0.193 0.807 0.169 F
0.807 0.193 0.169 F
0.307 0.307 0.669 F
0.693 0.693 0.669 F
0.800 0.200 0.835 F
0.200 0.800 0.835 F
0.700 0.700 0.335 F
0.300 0.300 0.335 F
```

Total energy = -84.80 eV per cell
Calculated density = 4.77 g/cm³
Symmetry = P4_2nm
Total magnetic moment = 0.1 μB per formula unit
Crystal system = tetragonal


Here is Li3RuF after structural relaxation from Alexandria via LeMat-Bulk. Energies are from PBEsol.

The structure in POSCAR format:
```
Li3RuF
1.0
-0.754 3.789 0.604
-3.648 -0.898 1.082
1.187 -0.355 3.708
Ru Li F
1 3 1
Direct
0.500 0.500 0.500 Ru
0.000 0.500 0.000 Li
0.000 0.000 0.500 Li
0.500 0.000 0.000 Li
0.000 0.000 0.000 F
```

Total energy = -20.33 eV per cell
Calculated density = 3.91 g/cm³
Symmetry = Pm-3m
Total magnetic moment = 1.5 μB per formula unit
Crystal system = cubic


Here is LiRu2F after structural relaxation from Alexandria via LeMat-Bulk. Energies are from PBEsol.

The structure in POSCAR format:
```
LiRu2F
1.0
-2.447 2.973 -1.285
-3.372 0.893 2.076
-0.240 3.475 2.085
Ru Li F
2 1 1
Direct
0.250 0.250 0.250 Ru
0.750 0.750 0.750 Ru
0.000 0.000 0.000 Li
0.500 0.500 0.500 F
```

Total energy = -21.18 eV per cell
Calculated density = 8.01 g/cm³
Symmetry = Fm-3m
Total magnetic moment = 2.7 μB per formula unit
Crystal system = cubic


Here is LiSi2RuF after structural relaxation from Alexandria via LeMat-Bulk. Energies are from PBEsol.

The structure in POSCAR format:
```
LiSi2RuF
1.0
4.448 0.000 0.000
0.000 4.448 0.000
0.000 0.000 4.836
Ru Si Li F
1 2 1 1
Direct
0.000 0.000 0.000 Ru
0.000 0.500 0.000 Si
0.500 0.000 0.000 Si
0.000 0.000 0.500 Li
0.500 0.500 0.500 F
```

Total energy = -26.40 eV per cell
Calculated density = 3.18 g/cm³
Symmetry = P4/mmm
Total magnetic moment = 0.0 μB per formula unit
Crystal system = tetragonal


Here is LiSF2 after structural relaxation from Alexandria via LeMat-Bulk. Energies are from PBEsol.

The structure in POSCAR format:
```
LiSF2
1.0
2.972 0.000 0.000
1.486 2.574 0.000
1.486 0.858 5.885
S F Li
1 2 1
Direct
0.000 0.000 0.000 S
0.892 0.892 0.324 F
0.108 0.108 0.676 F
0.500 0.500 0.500 Li
```

Total energy = -16.92 eV per cell
Calculated density = 2.84 g/cm³
Symmetry = R-3m
Total magnetic moment = 0.0 μB per formula unit
Crystal system = trigonal


Here is LiSb2F after structural relaxation from Alexandria via LeMat-Bulk. Energies are from PBEsol.

The structure in POSCAR format:
```
LiSb2F
1.0
4.089 0.000 0.000
0.000 4.089 0.000
-2.044 -2.044 10.590
Sb Li F
4 2 2
Direct
0.869 0.375 0.250 Sb
0.381 0.875 0.250 Sb
0.625 0.619 0.750 Sb
0.125 0.131 0.750 Sb
0.750 0.250 0.500 Li
0.500 0.500 0.000 Li
0.250 0.750 0.500 F
0.000 0.000 0.000 F
```

Total energy = -31.30 eV per cell
Calculated density = 5.05 g/cm³
Symmetry = I-42d
Total magnetic moment = 0.0 μB per formula unit
Crystal system = tetragonal